Record 1
The following is a DFT calculation (PBE) of a relaxed structure of Ca8InGa2.

The structure in POSCAR format:
```
Ca8InGa2
1.0
5.019 0.000 -1.528
-1.237 7.157 -4.065
0.091 0.464 9.310
Ca In Ga
8 1 2
Cartesian
2.260 6.451 -1.583
1.071 4.304 3.521
0.589 1.200 1.934
-0.375 2.170 -1.232
3.285 6.421 1.783
2.802 3.317 0.197
1.613 1.170 5.301
4.249 5.451 4.950
2.510 0.000 -0.764
0.117 5.079 0.385
3.756 2.542 3.333
```

Computed properties:
distance to the lowest polymorph of the same formula = 0.608 eV per formula unit
space group = Immm (71)
formation energy from the elements = -0.250 eV/atom


Record 2
The following is a DFT calculation (PBE) of a relaxed structure of HfNbSn2.

The structure in POSCAR format:
```
HfNbSn2
1.0
-3.362 2.047 0.370
-3.290 -1.809 1.241
-0.580 1.587 7.073
Hf Nb Sn
1 1 2
Cartesian
-3.616 0.913 4.342
0.000 0.000 0.000
-1.821 0.444 2.118
-5.411 1.382 6.566
```

Computed properties:
distance to the lowest polymorph of the same formula = 0.673 eV per formula unit
space group = R-3m (166)
formation energy from the elements = 0.128 eV/atom


> Which of these has the highest formation energy from the elements?

HfNbSn2